No. 1
This record from the Alexandria database describes crystalline Ac8Ir3AuBr3 at its relaxed geometry. The functional is GGA-PBE.

Calculated values
Raw formation energy   -1.04 eV/atom
Theoretical density   8.66 g/cm3
Space group   No. 12

a b c (Å): 8.8881 8.8778 9.4536
angles (deg): 118.03 90.00 120.04
Positions (direct):
Ac: 0.2430 0.4859 0.7034
Ac: 0.2431 0.9604 0.7038
Ac: 0.7570 0.5141 0.2966
Ac: 0.2826 0.0396 0.2962
Ac: 0.2671 0.5342 0.3004
Ac: 0.7174 0.9604 0.7038
Ac: 0.7329 0.4658 0.6996
Ac: 0.7569 0.0396 0.2962
Ir: 0.5000 0.5000 0.5000
Ir: 0.0000 0.5000 0.5000
Ir: 0.5000 0.0000 0.5000
Br: 0.0000 0.0000 0.0000
Br: 0.0000 0.5000 0.0000
Br: 0.5000 0.5000 0.0000
Au: 0.0000 0.0000 0.5000



No. 2
This record from the Alexandria database describes crystalline LiB4C4 at its relaxed geometry. The functional is GGA-PBE.

Calculated values
Distance to the lowest polymorph of the same formula   114.3 meV/atom
Theoretical density   2.07 g/cm3
Energy of formation from the pure elements   203.3 meV per atom
Space group   No. 164

a b c (Å): 2.7252 2.7252 24.5529
angles (deg): 90.00 90.00 120.00
Positions (direct):
C: 0.6667 0.3333 0.4045
C: 0.3333 0.6667 0.3211
C: 0.3333 0.6667 0.5431
C: 0.3333 0.6667 0.0955
C: 0.6667 0.3333 0.6840
C: 0.6667 0.3333 0.9569
C: 0.6667 0.3333 0.1789
C: 0.3333 0.6667 0.8160
Li: 0.0000 0.0000 0.6131
Li: 0.0000 0.0000 0.8869
B: 0.3333 0.6667 0.1772
B: 0.6667 0.3333 0.3228
B: 0.6667 0.3333 0.0970
B: 0.6667 0.3333 0.5409
B: 0.3333 0.6667 0.9591
B: 0.6667 0.3333 0.8137
B: 0.3333 0.6667 0.6863
B: 0.3333 0.6667 0.4030



No. 3
This record from the Alexandria database describes crystalline SmMgScGa at its relaxed geometry. The functional is GGA-PBE.

Calculated values
Theoretical density   5.21 g/cm3
Energy of formation from the pure elements   -333.1 meV per atom
Space group   No. 216

a b c (Å): 5.0719 5.0719 5.0719
angles (deg): 60.00 60.00 60.00
Positions (direct):
Sm: 0.0000 0.0000 0.0000
Mg: 0.7500 0.7500 0.7500
Sc: 0.5000 0.5000 0.5000
Ga: 0.2500 0.2500 0.2500



No. 4
This record from the Alexandria database describes crystalline PaTcP2 at its relaxed geometry. The functional is GGA-PBE.

Calculated values
Distance to the lowest polymorph of the same formula   0.3 meV/atom
Theoretical density   8.83 g/cm3
Energy of formation from the pure elements   -689.0 meV per atom
Space group   No. 160

a b c (Å): 3.7952 3.7952 6.2895
angles (deg): 72.44 72.44 60.00
Positions (direct):
Pa: 0.6707 0.6707 0.9879
Tc: 0.4849 0.4849 0.5453
P: 0.1033 0.1033 0.6901
P: 0.2411 0.2411 0.2767



No. 5
This record from the Alexandria database describes crystalline La2AsRu at its relaxed geometry. The functional is GGA-PBE.

Calculated values
Theoretical density   6.93 g/cm3
Energy of formation from the pure elements   -541.5 meV per atom
Space group   No. 166

a b c (Å): 7.7857 7.7857 7.7857
angles (deg): 30.65 30.65 30.65
Positions (direct):
Ru: 0.2500 0.2500 0.2500
As: 0.7500 0.7500 0.7500
La: 0.9981 0.9981 0.9981
La: 0.5019 0.5019 0.5019



No. 6
This record from the Alexandria database describes crystalline Ba3ZnHg at its relaxed geometry. The functional is GGA-PBE.

Calculated values
Distance to the lowest polymorph of the same formula   0.0 meV/atom
Theoretical density   5.45 g/cm3
Energy of formation from the pure elements   -288.1 meV per atom
Space group   No. 63

a b c (Å): 5.9414 5.9453 12.0728
angles (deg): 90.00 75.76 90.00
Positions (direct):
Ba: 0.7470 0.2500 0.1543
Ba: 0.0742 0.7500 0.5001
Ba: 0.9013 0.7500 0.8457
Ba: 0.2469 0.7500 0.1546
Ba: 0.5742 0.2500 0.4999
Ba: 0.4015 0.2500 0.8454
Hg: 0.1655 0.2500 0.3172
Hg: 0.4828 0.7500 0.6828
Zn: 0.6663 0.7500 0.3158
Zn: 0.9821 0.2500 0.6842



No. 7
This record from the Alexandria database describes crystalline Nd2AlCuO6 at its relaxed geometry. The functional is GGA-PBE.

Calculated values
Raw formation energy   -2.55 eV/atom
Theoretical density   6.69 g/cm3
Space group   No. 14

a b c (Å): 5.2736 5.2813 8.4746
angles (deg): 90.00 88.18 90.00
Positions (direct):
Al: 0.0000 0.5000 0.0000
Al: 0.5000 0.0000 0.5000
O: 0.2822 0.7267 0.0493
O: 0.2292 0.2202 0.0568
O: 0.7708 0.7798 0.9432
O: 0.4175 0.9868 0.7135
O: 0.2708 0.7202 0.4432
O: 0.7178 0.2733 0.9507
O: 0.2178 0.2267 0.4507
O: 0.7292 0.2798 0.5568
O: 0.9175 0.5132 0.2135
O: 0.7822 0.7733 0.5493
O: 0.0825 0.4868 0.7865
O: 0.5825 0.0132 0.2865
Cu: 0.5000 0.0000 0.0000
Cu: 0.0000 0.5000 0.5000
Nd: 0.5170 0.5335 0.7549
Nd: 0.9830 0.0335 0.7451
Nd: 0.4830 0.4665 0.2451
Nd: 0.0170 0.9665 0.2549



No. 8
This record from the Alexandria database describes crystalline SrPuZnGe at its relaxed geometry. The functional is GGA-PBE.

Calculated values
Theoretical density   7.59 g/cm3
Energy of formation from the pure elements   -232.0 meV per atom
Space group   No. 216

a b c (Å): 5.2572 5.2572 5.2572
angles (deg): 60.00 60.00 60.00
Site moments in Bohr magnetons follow the coordinates.
Positions (direct):
Ge: 0.2500 0.2500 0.2500  -0.09
Pu: 0.0000 0.0000 0.0000  5.52
Zn: 0.7500 0.7500 0.7500  0.06
Sr: 0.5000 0.5000 0.5000  0.05



No. 9
This record from the Alexandria database describes crystalline Mn3GaPd12 at its relaxed geometry. The functional is GGA-PBE.

Calculated values
Theoretical density   10.41 g/cm3
Energy of formation from the pure elements   -278.3 meV per atom
Space group   No. 123

a b c (Å): 3.9347 3.9347 15.5797
angles (deg): 90.00 90.00 90.00
Site moments in Bohr magnetons follow the coordinates.
Positions (direct):
Pd: 0.0000 0.5000 0.6253  0.15
Pd: 0.5000 0.0000 0.8758  0.06
Pd: 0.0000 0.5000 0.8758  0.06
Pd: 0.5000 0.5000 0.5000  0.17
Pd: 0.5000 0.0000 0.3747  0.15
Pd: 0.5000 0.5000 0.2496  0.14
Pd: 0.5000 0.0000 0.1242  0.06
Pd: 0.0000 0.5000 0.3747  0.15
Pd: 0.5000 0.5000 0.0000  0.00
Pd: 0.5000 0.5000 0.7504  0.14
Pd: 0.5000 0.0000 0.6253  0.15
Pd: 0.0000 0.5000 0.1242  0.06
Ga: 0.0000 0.0000 0.0000  -0.02
Mn: 0.0000 0.0000 0.5000  3.90
Mn: 0.0000 0.0000 0.2491  3.85
Mn: 0.0000 0.0000 0.7509  3.85



No. 10
This record from the Alexandria database describes crystalline Ag2SnPd9 at its relaxed geometry. The functional is GGA-PBE.

Calculated values
Theoretical density   11.09 g/cm3
Energy of formation from the pure elements   -163.2 meV per atom
Space group   No. 123

a b c (Å): 4.0323 4.0323 11.9018
angles (deg): 90.00 90.00 90.00
Positions (direct):
Pd: 0.5000 0.5000 0.0000
Pd: 0.0000 0.5000 0.8339
Pd: 0.0000 0.5000 0.5000
Pd: 0.5000 0.5000 0.3338
Pd: 0.5000 0.5000 0.6662
Pd: 0.5000 0.0000 0.5000
Pd: 0.5000 0.0000 0.8339
Pd: 0.0000 0.5000 0.1661
Pd: 0.5000 0.0000 0.1661
Ag: 0.0000 0.0000 0.6658
Ag: 0.0000 0.0000 0.3342
Sn: 0.0000 0.0000 0.0000



No. 11
This record from the Alexandria database describes crystalline GdYMg at its relaxed geometry. The functional is GGA-PBE.

Calculated values
Distance to the lowest polymorph of the same formula   0.0 meV/atom
Theoretical density   5.07 g/cm3
Energy of formation from the pure elements   -59.1 meV per atom
Space group   No. 107

a b c (Å): 3.6871 3.6871 7.0238
angles (deg): 105.22 105.22 90.00
Site moments in Bohr magnetons follow the coordinates.
Positions (direct):
Y: 0.0088 0.0088 0.0176  0.11
Mg: 0.6652 0.6652 0.3304  -0.01
Gd: 0.3260 0.3260 0.6520  7.27



No. 12
This record from the Alexandria database describes crystalline TbGeRu at its relaxed geometry. The functional is GGA-PBE.

Calculated values
Theoretical density   9.83 g/cm3
Energy of formation from the pure elements   -476.2 meV per atom
Space group   No. 107

a b c (Å): 3.2393 3.2393 5.8244
angles (deg): 106.15 106.15 90.00
Positions (direct):
Tb: 0.9447 0.9447 0.8894
Ru: 0.2576 0.2576 0.5152
Ge: 0.6477 0.6477 0.2954



- Among the records above, which one has the highest theoretical density?
  Ag2SnPd9